Arrangement i

The following is a DFT calculation (PBE with a Hubbard U) of an optimized crystal structure of InNiF.

Calculated values
Crystal system = monoclinic
D(E_F) = 1.39 states/eV/f.u.

Cell: 3.304 3.304 7.654 Å, 96.04 96.04 90.04°
Atoms (fractional coordinates):
In 0.200 0.200 0.238
In 0.800 0.800 0.762
Ni 0.249 0.290 0.578
Ni 0.710 0.751 0.422
F 0.346 0.110 0.934
F 0.890 0.654 0.066

***

Arrangement ii

The following is a DFT calculation (PBE with a Hubbard U) of an optimized crystal structure of InNiF.

Calculated values
Crystal system = monoclinic
D(E_F) = 0.92 states/eV/f.u.

Cell: 3.798 3.443 7.477 Å, 90.00 102.97 90.00°
Atoms (fractional coordinates):
In 0.135 0.250 0.233
In 0.865 0.750 0.767
Ni 0.251 0.750 0.513
Ni 0.749 0.250 0.487
F 0.257 0.750 0.051
F 0.743 0.250 0.949

***

Arrangement iii

The following is a DFT calculation (PBE with a Hubbard U) of an optimized crystal structure of InNiF.

Calculated values
Crystal system = orthorhombic
D(E_F) = 0.70 states/eV/f.u.

Cell: 3.111 3.292 8.857 Å, 90.00 90.00 90.00°
Atoms (fractional coordinates):
In 0.250 0.250 0.228
In 0.750 0.750 0.772
Ni 0.250 0.250 0.931
Ni 0.750 0.750 0.069
F 0.250 0.750 0.604
F 0.750 0.250 0.396

***

arrangement ii wins, 4.1 kJ/mol of atoms ahead of the next structure.